Density functional theory data (GGA-PBE) for a relaxed Pa2SiTc crystal.

Unit cell a=4.209 b=4.292 c=4.292 alpha=90.00 beta=90.00 gamma=90.00
Fractional positions:
Si: 0.500 0.000 0.000
Pa: 0.000 0.000 0.500
Pa: 0.000 0.500 0.000
Tc: 0.500 0.500 0.500

Results
The energy above the most stable polymorph in this dataset comes out at 68 meV/atom. Its total moment is 0.0 Bohr magnetons per cell. For the total DFT energy (no corrections), the calculation gives -9.05 eV per atom. As for the formation energy without anion corrections: -0.359 eV/atom.